A plane-wave DFT calculation with PBE was carried out for a relaxed Y5Si crystal.

The structure belongs to space group Cmmm (No. 65); the cell edges are 4.6975, 14.7963 and 4.7898 Å and the angles 90.00°, 90.00° and 90.00°. The distinct sites, in fractional coordinates, are Y at (0.0000, 0.0000, 0.0000), Y at (0.0000, 0.1549, 0.5000), Y at (0.0000, 0.3370, 0.0000) and Si at (0.0000, 0.5000, 0.5000).

The value obtained for the uncorrected formation energy is -124 meV/atom.

***

A plane-wave DFT calculation with PBE was carried out for a relaxed Y4Si23 crystal.

The structure belongs to space group Pm-3n (No. 223); the cell edges are 10.1209, 10.1209 and 10.1209 Å and the angles 90.00°, 90.00° and 90.00°. The distinct sites, in fractional coordinates, are Y at (0.0000, 0.0000, 0.0000), Y at (0.0000, 0.2500, 0.5000), Si at (0.0000, 0.3097, 0.1168), Si at (0.0000, 0.5000, 0.2500) and Si at (0.1839, 0.1839, 0.1839).

The value obtained for the uncorrected formation energy is 9 meV/atom.

***

A plane-wave DFT calculation with PBE was carried out for a relaxed Y5Si crystal.

The structure belongs to space group F-43m (No. 216); the cell edges are 9.0066, 9.0066 and 9.0066 Å and the angles 90.00°, 90.00° and 90.00°. The distinct sites, in fractional coordinates, are Y at (0.0000, 0.0000, 0.0000), Y at (0.1255, 0.1255, 0.6255) and Si at (0.2500, 0.2500, 0.2500).

The value obtained for the uncorrected formation energy is 438 meV/atom.

***

A plane-wave DFT calculation with PBE was carried out for a relaxed YSi4 crystal.

The structure belongs to space group Pm-3m (No. 221); the cell edges are 5.2533, 5.2533 and 5.2533 Å and the angles 90.00°, 90.00° and 90.00°. The distinct sites, in fractional coordinates, are Y at (0.0000, 0.0000, 0.0000), Si at (0.0000, 0.0000, 0.5000) and Si at (0.5000, 0.5000, 0.5000).

Its energy relative to the lowest polymorph listed for this composition is 735 kJ/mol of formula units. The value obtained for the uncorrected formation energy is 1455 meV/atom.

***

A plane-wave DFT calculation with PBE was carried out for a relaxed Y2Si crystal.

The structure belongs to space group C2/m (No. 12); the cell edges are 11.2176, 4.1677 and 8.1113 Å and the angles 90.00°, 125.67° and 90.00°. The distinct sites, in fractional coordinates, are Y at (0.0855, 0.0000, 0.3636), Y at (0.1739, 0.5000, 0.0769) and Si at (0.1228, 0.5000, 0.6589).

The value obtained for the uncorrected formation energy is -548 meV/atom.

***

A plane-wave DFT calculation with PBE was carried out for a relaxed Y3Si crystal.

The structure belongs to space group I4/mmm (No. 139); the cell edges are 4.5026, 4.5026 and 10.1992 Å and the angles 90.00°, 90.00° and 90.00°. The distinct sites, in fractional coordinates, are Y at (0.0000, 0.0000, 0.0000), Y at (0.0000, 0.5000, 0.2500) and Si at (0.0000, 0.0000, 0.5000).

Its energy relative to the lowest polymorph listed for this composition is 88 kJ/mol of formula units. The value obtained for the uncorrected formation energy is -209 meV/atom.

***

A plane-wave DFT calculation with PBE was carried out for a relaxed Y3Zn3Si crystal.

The structure belongs to space group Imm2 (No. 44); the cell edges are 3.9995, 4.1650 and 18.7012 Å and the angles 90.00°, 90.00° and 90.00°. The distinct sites, in fractional coordinates, are Y at (0.0000, 0.0000, 0.0000), Y at (0.0000, 0.0000, 0.3733), Y at (0.0000, 0.5000, 0.1958), Zn at (0.0000, 0.0000, 0.5472), Zn at (0.0000, 0.0000, 0.8296), Zn at (0.0000, 0.5000, 0.6246) and Si at (0.0000, 0.5000, 0.7543).

The value obtained for the uncorrected formation energy is -458 meV/atom.

***

A plane-wave DFT calculation with PBE was carried out for a relaxed Y4ZnSi3 crystal.

The structure belongs to space group Pmm2 (No. 25); the cell edges are 3.9390, 4.2397 and 10.7312 Å and the angles 90.00°, 90.00° and 90.00°. The distinct sites, in fractional coordinates, are Y at (0.0000, 0.0000, 0.0000), Y at (0.0000, 0.5000, 0.4930), Y at (0.5000, 0.0000, 0.7126), Y at (0.5000, 0.5000, 0.2157), Zn at (0.0000, 0.5000, 0.7855), Si at (0.0000, 0.0000, 0.2803), Si at (0.5000, 0.0000, 0.4282) and Si at (0.5000, 0.5000, 0.9328).

The value obtained for the uncorrected formation energy is -723 meV/atom.

***

A plane-wave DFT calculation with PBE was carried out for a relaxed Y2ZnSi3 crystal.

The structure belongs to space group Imm2 (No. 44); the cell edges are 4.0463, 4.1013 and 13.9278 Å and the angles 90.00°, 90.00° and 90.00°. The distinct sites, in fractional coordinates, are Y at (0.0000, 0.0000, 0.0000), Y at (0.0000, 0.5000, 0.2599), Zn at (0.0000, 0.0000, 0.5912), Si at (0.0000, 0.0000, 0.4235), Si at (0.0000, 0.5000, 0.6722) and Si at (0.0000, 0.5000, 0.8383).

The value obtained for the uncorrected formation energy is -655 meV/atom.

***

A plane-wave DFT calculation with PBE was carried out for a relaxed Y3Zn9Si2 crystal.

The structure belongs to space group Immm (No. 71); the cell edges are 4.2585, 9.6715 and 12.1296 Å and the angles 90.00°, 90.00° and 90.00°. The distinct sites, in fractional coordinates, are Y at (0.0000, 0.0000, 0.0000), Y at (0.0000, 0.0000, 0.3125), Zn at (0.0000, 0.2734, 0.1385), Zn at (0.0000, 0.3710, 0.3384), Zn at (0.0000, 0.5000, 0.0000) and Si at (0.0000, 0.2113, 0.5000).

The value obtained for the uncorrected formation energy is -344 meV/atom.

***

A plane-wave DFT calculation with PBE was carried out for a relaxed Y2Zn2Si3 crystal.

The structure belongs to space group Cmcm (No. 63); the cell edges are 4.1130, 18.4529 and 6.8142 Å and the angles 90.00°, 90.00° and 90.00°. The distinct sites, in fractional coordinates, are Y at (0.0000, 0.0492, 0.2500), Y at (0.0000, 0.1553, 0.7500), Zn at (0.0000, 0.3209, 0.5633), Si at (0.0000, 0.2194, 0.2500) and Si at (0.0000, 0.4424, 0.0766).

The value obtained for the uncorrected formation energy is -496 meV/atom.

***

A plane-wave DFT calculation with PBE was carried out for a relaxed Y3Zn3Si2 crystal.

The structure belongs to space group Cmcm (No. 63); the cell edges are 4.0713, 10.8532 and 15.2614 Å and the angles 90.00°, 90.00° and 90.00°. The distinct sites, in fractional coordinates, are Y at (0.0000, 0.0781, 0.2500), Y at (0.0000, 0.3601, 0.0920), Zn at (0.0000, 0.0760, 0.0560), Zn at (0.0000, 0.1976, 0.7500) and Si at (0.0000, 0.3419, 0.6172).

The value obtained for the uncorrected formation energy is -559 meV/atom.

***

A plane-wave DFT calculation with PBE was carried out for a relaxed YZn11Si crystal.

The structure belongs to space group C2/m (No. 12); the cell edges are 5.2241, 12.6550 and 6.7417 Å and the angles 90.00°, 112.27° and 90.00°. The distinct sites, in fractional coordinates, are Y at (0.0000, 0.0000, 0.0000), Zn at (0.0000, 0.5000, 0.5000), Zn at (0.1027, 0.3921, 0.2143), Zn at (0.1784, 0.1780, 0.3546), Zn at (0.2500, 0.2500, 0.0000) and Si at (0.0000, 0.0000, 0.5000).

The value obtained for the uncorrected formation energy is -112 meV/atom.

***

A plane-wave DFT calculation with PBE was carried out for a relaxed Y3Zn4Si2 crystal.

The structure belongs to space group C2/m (No. 12); the cell edges are 10.6216, 4.2310 and 8.3542 Å and the angles 90.00°, 108.22° and 90.00°. The distinct sites, in fractional coordinates, are Y at (0.0000, 0.0000, 0.0000), Y at (0.1753, 0.5000, 0.6529), Zn at (0.0260, 0.0000, 0.3630), Zn at (0.2408, 0.5000, 0.0746) and Si at (0.1088, 0.5000, 0.2746).

The value obtained for the uncorrected formation energy is -562 meV/atom.

***

A plane-wave DFT calculation with PBE was carried out for a relaxed Y4ZnSi2 crystal.

The structure belongs to space group I4/mmm (No. 139); the cell edges are 5.0461, 5.0461 and 15.3991 Å and the angles 90.00°, 90.00° and 90.00°. The distinct sites, in fractional coordinates, are Y at (0.0000, 0.0000, 0.1857), Y at (0.0000, 0.5000, 0.0000), Zn at (0.0000, 0.0000, 0.0000) and Si at (0.0000, 0.0000, 0.3715).

The value obtained for the uncorrected formation energy is -39 meV/atom.

***

A plane-wave DFT calculation with PBE was carried out for a relaxed YZnSi4 crystal.

The structure belongs to space group F-43m (No. 216); the cell edges are 7.3657, 7.3657 and 7.3657 Å and the angles 90.00°, 90.00° and 90.00°. The distinct sites, in fractional coordinates, are Y at (0.0000, 0.0000, 0.0000), Zn at (0.2500, 0.2500, 0.7500) and Si at (0.1233, 0.1233, 0.3767).

The value obtained for the uncorrected formation energy is -92 meV/atom.

***

A plane-wave DFT calculation with PBE was carried out for a relaxed Y4ZnSi crystal.

The structure belongs to space group F-43m (No. 216); the cell edges are 8.7259, 8.7259 and 8.7259 Å and the angles 90.00°, 90.00° and 90.00°. The distinct sites, in fractional coordinates, are Y at (0.1255, 0.1255, 0.1255), Zn at (0.2500, 0.2500, 0.7500) and Si at (0.0000, 0.0000, 0.5000).

The value obtained for the uncorrected formation energy is 528 meV/atom.

***

A plane-wave DFT calculation with PBE was carried out for a relaxed Y2ZrSi crystal.

The structure belongs to space group I-42d (No. 122); the cell edges are 8.3978, 8.3978 and 5.8107 Å and the angles 90.00°, 90.00° and 90.00°. The distinct sites, in fractional coordinates, are Y at (0.2025, 0.2500, 0.1250), Zr at (0.0000, 0.0000, 0.5000) and Si at (0.0000, 0.0000, 0.0000).

Its energy relative to the lowest polymorph listed for this composition is 149 kJ/mol of formula units. The value obtained for the uncorrected formation energy is 94 meV/atom.

***

A plane-wave DFT calculation with PBE was carried out for a relaxed YZr2Si crystal.

The structure belongs to space group I-42d (No. 122); the cell edges are 8.1634, 8.1634 and 5.7291 Å and the angles 90.00°, 90.00° and 90.00°. The distinct sites, in fractional coordinates, are Y at (0.0000, 0.0000, 0.0000), Zr at (0.1952, 0.7500, 0.6250) and Si at (0.0000, 0.0000, 0.5000).

Its energy relative to the lowest polymorph listed for this composition is 103 kJ/mol of formula units. The value obtained for the uncorrected formation energy is -20 meV/atom.

***

A plane-wave DFT calculation with PBE was carried out for a relaxed YZr2Si crystal.

The structure belongs to space group Cm (No. 8); the cell edges are 10.6758, 3.5717 and 5.8886 Å and the angles 90.00°, 122.99° and 90.00°. The distinct sites, in fractional coordinates, are Y at (0.0000, 0.0000, 0.0000), Zr at (0.1877, 0.0000, 0.7386), Zr at (0.3965, 0.0000, 0.3851) and Si at (0.2201, 0.5000, 0.4414).

Its energy relative to the lowest polymorph listed for this composition is 32 kJ/mol of formula units. The value obtained for the uncorrected formation energy is -204 meV/atom.

***

A plane-wave DFT calculation with PBE was carried out for a relaxed Y2ZrSi crystal.

The structure belongs to space group P4mm (No. 99); the cell edges are 3.6388, 3.6388 and 7.5775 Å and the angles 90.00°, 90.00° and 90.00°. The distinct sites, in fractional coordinates, are Y at (0.0000, 0.0000, 0.0000), Y at (0.5000, 0.5000, 0.3485), Zr at (0.0000, 0.0000, 0.6169) and Si at (0.5000, 0.5000, 0.7646).

Its energy relative to the lowest polymorph listed for this composition is 9 kJ/mol of formula units. The value obtained for the uncorrected formation energy is -269 meV/atom.

***

A plane-wave DFT calculation with PBE was carried out for a relaxed Y2ZrSi crystal.

The structure belongs to space group F-43m (No. 216); the cell edges are 7.1508, 7.1508 and 7.1508 Å and the angles 90.00°, 90.00° and 90.00°. The distinct sites, in fractional coordinates, are Y at (0.0000, 0.0000, 0.0000), Y at (0.2500, 0.2500, 0.2500), Zr at (0.2500, 0.2500, 0.7500) and Si at (0.0000, 0.0000, 0.5000).

Its energy relative to the lowest polymorph listed for this composition is 109 kJ/mol of formula units. The value obtained for the uncorrected formation energy is -9 meV/atom.

***

A plane-wave DFT calculation with PBE was carried out for a relaxed YZr2Si crystal.

The structure belongs to space group C2/m (No. 12); the cell edges are 11.1393, 3.2225 and 5.2594 Å and the angles 90.00°, 107.56° and 90.00°. The distinct sites, in fractional coordinates, are Y at (0.0000, 0.0000, 0.0000), Zr at (0.2164, 0.0000, 0.7126) and Si at (0.0000, 0.5000, 0.5000).

Its energy relative to the lowest polymorph listed for this composition is 24 kJ/mol of formula units. The value obtained for the uncorrected formation energy is -226 meV/atom.